Entry 1:
Density functional theory data (SCAN) for ReAsPS2 at its PBEsol-relaxed geometry.

abc: 4.421 4.421 4.485
angles: 90.00 90.00 90.00
Positions (direct):
Re1 0.000 0.000 0.000
As1 0.500 0.500 0.500
P1 0.500 0.500 0.000
S1 0.000 0.500 0.500
S2 0.500 0.000 0.500

Summary:
Calculated volume   17.53 Å³/atom
Crystal system   tetragonal
DFT total energy   -22.55 eV/atom
Space-group type   P4/mmm

---

Entry 2:
Density functional theory data (SCAN) for InCoCl3 at its PBEsol-relaxed geometry.

abc: 4.716 4.716 4.716
angles: 90.00 90.00 90.00
Positions (direct):
In1 0.000 0.000 0.000
Co1 0.500 0.500 0.500
Cl1 0.000 0.500 0.500
Cl2 0.500 0.000 0.500
Cl3 0.500 0.500 0.000

Summary:
Calculated volume   20.98 Å³/atom
Crystal system   cubic
DFT total energy   -15.71 eV/atom
Space-group type   Pm-3m

---

What is the DFT total energy in the first record?
-22.55 eV/atom

---

Number 1 is which compound?
ReAsPS2